The following is a DFT calculation (PBE) of CsKNa2Pd after structural relaxation.

Computed properties:
* distance to the lowest polymorph of the same formula: 0 meV per atom
* calculated density: 2.5 g/cm³

Cell lengths 5.9448, 5.9448, 6.2184 Å; angles 90.00, 90.00, 90.00 degrees
Space group P4/mmm (No. 123)
Inequivalent atoms, fractional coordinates:
Cs 0.0000 0.0000 0.0000
K 0.5000 0.5000 0.0000
Na 0.0000 0.5000 0.5000
Pd 0.5000 0.5000 0.5000